An optimized crystal structure of Li2ErCd. Source: the Alexandria database, functional PBE-GGA.

Cell: 3.5316 3.5316 6.9246 Å, 90.00 90.00 90.00°
Last column: nearest neighbours and their distance in Å.
Space group P4/mmm (No. 123)
Inequivalent atoms, fractional coordinates:
Li: 0.0000 0.0000 0.2043  1 Li 2.83, 4 Cd 2.87
Er: 0.5000 0.5000 0.5000  8 Li 3.23, 2 Cd 3.46, 4 Er 3.53
Cd: 0.5000 0.5000 0.0000  8 Li 2.87

Results
**Raw total energy**: -2.3671 eV/atom
**Distance to the lowest polymorph of the same formula**: 21 meV/atom
**Volume**: 21.59 Å³ per atom
**Crystal system**: tetragonal
**E_form**: -3.92 kJ per mole of atoms

***

An optimized crystal structure of LiEr4Cd3. Source: the Alexandria database, functional PBE-GGA.

Cell: 5.2415 5.2415 14.7617 Å, 90.00 90.00 90.00°
Last column: nearest neighbours and their distance in Å.
Space group I4/mmm (No. 139)
Inequivalent atoms, fractional coordinates:
Li: 0.0000 0.0000 0.0000  8 Er 3.20
Er: 0.0000 0.5000 0.1242  6 Cd 3.19-3.23, 2 Li 3.20
Cd: 0.0000 0.0000 0.2477  8 Er 3.19-3.23
Cd: 0.0000 0.0000 0.5000  8 Er 3.20

Results
**Raw total energy**: -3.0844 eV/atom
**Volume**: 25.35 Å³ per atom
**Crystal system**: tetragonal
**E_form**: -21.28 kJ per mole of atoms

***

An optimized crystal structure of Li4ErCd8. Source: the Alexandria database, functional PBE-GGA.

Cell: 9.9403 9.9403 5.2643 Å, 90.00 90.00 90.00°
Last column: nearest neighbours and their distance in Å.
Space group I4/mmm (No. 139)
Inequivalent atoms, fractional coordinates:
Li: 0.2500 0.2500 0.2500  2 Li 2.63, 4 Cd 2.84
Er: 0.0000 0.0000 0.0000  12 Cd 3.36-3.46, 8 Li 3.75
Cd: 0.0000 0.2108 0.5000  4 Li 2.84, 4 Cd 2.96
Cd: 0.0000 0.3480 0.0000  5 Cd 2.96-3.25, 4 Li 2.98

Results
**Raw total energy**: -1.7231 eV/atom
**Volume**: 20.01 Å³ per atom
**Crystal system**: tetragonal
**E_form**: -21.24 kJ per mole of atoms

***

An optimized crystal structure of LiEr4Cd5. Source: the Alexandria database, functional PBE-GGA.

Cell: 3.6313 3.6313 18.5024 Å, 90.00 90.00 90.00°
Last column: nearest neighbours and their distance in Å.
Space group P4/mmm (No. 123)
Inequivalent atoms, fractional coordinates:
Li: 0.0000 0.0000 0.0000  8 Cd 3.01
Er: 0.0000 0.0000 0.1909  8 Cd 3.20-3.23, 1 Li 3.53
Er: 0.0000 0.0000 0.3966  8 Cd 3.19-3.20
Cd: 0.5000 0.5000 0.0853  4 Li 3.01, 1 Cd 3.16, 4 Er 3.23
Cd: 0.5000 0.5000 0.2943  8 Er 3.19-3.20
Cd: 0.5000 0.5000 0.5000  8 Er 3.20

Results
**Raw total energy**: -2.7652 eV/atom
**Volume**: 24.40 Å³ per atom
**Crystal system**: tetragonal
**E_form**: -28.08 kJ per mole of atoms

***

An optimized crystal structure of LiErCd. Source: the Alexandria database, functional PBE-GGA.

Cell: 3.4952 11.3593 3.4969 Å, 90.00 90.00 90.00°
Last column: nearest neighbours and their distance in Å.
Space group Pmn2_1 (No. 31)
Inequivalent atoms, fractional coordinates:
Li: 0.0000 0.0724 0.0000  5 Cd 2.89-3.15, 4 Li 2.97
Er: 0.0000 0.3908 0.0019  4 Cd 3.25, 8 Er 3.50, 1 Li 3.62
Cd: 0.0000 0.7952 0.0021  5 Li 2.89-3.15

Results
**Raw total energy**: -2.6408 eV/atom
**Distance to the lowest polymorph of the same formula**: 0 meV/atom
**Volume**: 23.14 Å³ per atom
**Crystal system**: orthorhombic
**E_form**: -17.06 kJ per mole of atoms

***

An optimized crystal structure of Li2ErCd. Source: the Alexandria database, functional PBE-GGA.

Cell: 3.2807 3.2807 29.9318 Å, 90.00 90.00 120.00°
Last column: nearest neighbours and their distance in Å.
Space group R3m (No. 160, hexagonal axes)
Inequivalent atoms, fractional coordinates:
Li: 0.0000 0.0000 0.0000  3 Cd 2.94, 6 Li 3.28
Li: 0.0000 0.0000 0.1835  3 Cd 2.94, 6 Li 3.28
Er: 0.0000 0.0000 0.7587  6 Er 3.28, 6 Li 3.33-3.34
Cd: 0.0000 0.0000 0.5917  6 Li 2.94, 6 Cd 3.28

Results
**Raw total energy**: -2.2966 eV/atom
**Distance to the lowest polymorph of the same formula**: 92 meV/atom
**Volume**: 23.25 Å³ per atom
**Crystal system**: trigonal
**E_form**: 2.87 kJ per mole of atoms

***

An optimized crystal structure of LiErCd2. Source: the Alexandria database, functional PBE-GGA.

Cell: 7.0992 7.0992 7.0992 Å, 90.00 90.00 90.00°
Last column: nearest neighbours and their distance in Å.
Space group Fm-3m (No. 225)
Inequivalent atoms, fractional coordinates:
Li: 0.0000 0.0000 0.0000  8 Cd 3.07
Er: 0.0000 0.0000 0.5000  8 Cd 3.07
Cd: 0.2500 0.2500 0.2500  4 Li 3.07, 4 Er 3.07

Results
**Raw total energy**: -2.3275 eV/atom
**Distance to the lowest polymorph of the same formula**: 11 meV/atom
**Volume**: 22.36 Å³ per atom
**Crystal system**: cubic
**E_form**: -24.19 kJ per mole of atoms

***

An optimized crystal structure of Li2ErCd. Source: the Alexandria database, functional PBE-GGA.

Cell: 6.8693 6.8693 6.8693 Å, 90.00 90.00 90.00°
Last column: nearest neighbours and their distance in Å.
Space group Fm-3m (No. 225)
Inequivalent atoms, fractional coordinates:
Li: 0.2500 0.2500 0.2500  4 Cd 2.97, 4 Er 2.97
Er: 0.0000 0.0000 0.0000  8 Li 2.97
Cd: 0.0000 0.0000 0.5000  8 Li 2.97

Results
**Raw total energy**: -2.3883 eV/atom
**Distance to the lowest polymorph of the same formula**: 0 meV/atom
**Volume**: 20.26 Å³ per atom
**Crystal system**: cubic
**E_form**: -5.98 kJ per mole of atoms

***

> The lowest volume belongs to which entry?

Li4ErCd8

***

> volume of number 4 (LiEr4Cd5)?

24.40 Å³ per atom

***

> E_form of number 2 (LiEr4Cd3)?

-21.28 kJ per mole of atoms

***

Please write out number 4 again, unchanged.
An optimized crystal structure of LiEr4Cd5. Source: the Alexandria database, functional PBE-GGA.

Cell: 3.6313 3.6313 18.5024 Å, 90.00 90.00 90.00°
Last column: nearest neighbours and their distance in Å.
Space group P4/mmm (No. 123)
Inequivalent atoms, fractional coordinates:
Li: 0.0000 0.0000 0.0000  8 Cd 3.01
Er: 0.0000 0.0000 0.1909  8 Cd 3.20-3.23, 1 Li 3.53
Er: 0.0000 0.0000 0.3966  8 Cd 3.19-3.20
Cd: 0.5000 0.5000 0.0853  4 Li 3.01, 1 Cd 3.16, 4 Er 3.23
Cd: 0.5000 0.5000 0.2943  8 Er 3.19-3.20
Cd: 0.5000 0.5000 0.5000  8 Er 3.20

Results
**Raw total energy**: -2.7652 eV/atom
**Volume**: 24.40 Å³ per atom
**Crystal system**: tetragonal
**E_form**: -28.08 kJ per mole of atoms